First-principles (PBE-GGA) data for an optimized crystal structure of La4ErIn2, as listed in Alexandria via LeMat-Bulk.

Unit cell a=6.9094 b=11.4440 c=12.0581 alpha=90.00 beta=90.00 gamma=90.00
Closest atoms and distances in Å follow each position.
Space group Imma (No. 74)
One atom of each set of equivalent atoms:
La1 0.0000 0.0134 0.1732 x8  1 Er 3.28, 2 In 3.34
La2 0.2395 0.2500 0.9875 x8  1 Er 3.09, 3 In 3.17-3.38, 1 La 3.31
Er1 0.0000 0.2500 0.7206 x4  4 La 3.09-3.28
In1 0.0000 0.0000 0.5000 x4  4 La 3.38
In2 0.2500 0.2500 0.2500 x4  6 La 3.17-3.34, 2 In 3.45

## Properties
Its density of states at the Fermi level is 1.26 states/eV/atom. For the total energy, the calculation gives -0.1580 hartree per atom. The polymorph energy (0 for the lowest one) is 0.00 eV/f.u. The calculation puts the formation enthalpy at 0 K at -0.05 eV/atom. The spin magnetization comes out at 0.00 μB/atom.